Compound: CsHoAuSe3
Source: the Open Quantum Materials Database
Functional: PBE
Structure: relaxed

Values from the calculation:
energy: -51.8 eV per cell

Cell lengths 8.4305, 8.4305, 10.6866 Å; angles 90.00, 90.00, 151.94 degrees
Fractional positions:
Cs1 0.2494 0.7506 0.2500
Cs2 0.7506 0.2494 0.7500
Se1 0.3797 0.6203 0.5450
Se2 0.9331 0.0669 0.2500
Se3 0.0669 0.9331 0.7500
Se4 0.6203 0.3797 0.0450
Se5 0.6203 0.3797 0.4550
Se6 0.3797 0.6203 0.9550
Ho1 0.0000 0.0000 0.5000
Ho2 0.0000 0.0000 0.0000
Au1 0.5364 0.4636 0.2500
Au2 0.4636 0.5364 0.7500